1.
The following is a PBE-GGA calculation of K3Rb2CuSb2 after structural relaxation, from OQMD.

symmetry = R-3m (166)
crystal system = trigonal
ΔE to the lowest computed polymorph = 0.000 eV per atom

Geometry as POSCAR:
```
K3Rb2CuSb2
1.0
3.0310 1.7500 9.4863
-3.0310 1.7500 9.4863
0.0000 -3.4999 9.4863
K Rb Cu Sb
3 2 1 2
Direct
0.0000 0.0000 0.0000 K
0.2836 0.2836 0.2836 K
0.7164 0.7164 0.7164 K
0.1356 0.1356 0.1356 Rb
0.8644 0.8644 0.8644 Rb
0.5000 0.5000 0.5000 Cu
0.4113 0.4113 0.4113 Sb
0.5887 0.5887 0.5887 Sb
```



2.
The following is a PBE-GGA calculation of Ba4ZrOs3O12 after structural relaxation, from OQMD.

symmetry = R-3m (166)
crystal system = trigonal

Geometry as POSCAR:
```
Ba4ZrOs3O12
1.0
2.9049 1.6771 9.7593
-2.9049 1.6771 9.7593
0.0000 -3.3543 9.7593
Ba Zr Os O
4 1 3 12
Direct
0.1290 0.1290 0.1290 Ba
0.2862 0.2862 0.2862 Ba
0.7138 0.7138 0.7138 Ba
0.8710 0.8710 0.8710 Ba
0.0000 0.0000 0.0000 Zr
0.4120 0.4120 0.4120 Os
0.5000 0.5000 0.5000 Os
0.5880 0.5880 0.5880 Os
0.1400 0.6140 0.6140 O
0.2112 0.2112 0.6994 O
0.2112 0.6994 0.2112 O
0.3006 0.7888 0.7888 O
0.3860 0.3860 0.8600 O
0.3860 0.8600 0.3860 O
0.6140 0.1400 0.6140 O
0.6140 0.6140 0.1400 O
0.6994 0.2112 0.2112 O
0.7888 0.3006 0.7888 O
0.7888 0.7888 0.3006 O
0.8600 0.3860 0.3860 O
```



3.
The following is a PBE-GGA calculation of RbSmCu after structural relaxation, from OQMD.

symmetry = F-43m (216)
crystal system = cubic
ΔE to the lowest computed polymorph = 0.000 eV per atom

Geometry as POSCAR:
```
RbSmCu
1.0
7.4110 0.0000 0.0000
0.0000 7.4110 0.0000
0.0000 0.0000 7.4110
Rb Sm Cu
4 4 4
Direct
0.0000 0.0000 0.0000 Rb
0.0000 0.5000 0.5000 Rb
0.5000 0.0000 0.5000 Rb
0.5000 0.5000 0.0000 Rb
0.0000 0.0000 0.5000 Sm
0.0000 0.5000 0.0000 Sm
0.5000 0.0000 0.0000 Sm
0.5000 0.5000 0.5000 Sm
0.2500 0.2500 0.2500 Cu
0.2500 0.7500 0.7500 Cu
0.7500 0.2500 0.7500 Cu
0.7500 0.7500 0.2500 Cu
```



4.
The following is a PBE-GGA calculation of PmPdPb after structural relaxation, from OQMD.

symmetry = F-43m (216)
crystal system = cubic
ΔE to the lowest computed polymorph = 0.602 eV per atom

Geometry as POSCAR:
```
PmPdPb
1.0
7.0521 0.0000 0.0000
0.0000 7.0521 0.0000
0.0000 0.0000 7.0521
Pm Pd Pb
4 4 4
Direct
0.0000 0.0000 0.0000 Pm
0.0000 0.5000 0.5000 Pm
0.5000 0.0000 0.5000 Pm
0.5000 0.5000 0.0000 Pm
0.2500 0.2500 0.2500 Pd
0.2500 0.7500 0.7500 Pd
0.7500 0.2500 0.7500 Pd
0.7500 0.7500 0.2500 Pd
0.2500 0.2500 0.7500 Pb
0.2500 0.7500 0.2500 Pb
0.7500 0.2500 0.2500 Pb
0.7500 0.7500 0.7500 Pb
```



5.
The following is a PBE-GGA calculation of LaGaNi2As after structural relaxation, from OQMD.

symmetry = P4/nmm (129)
crystal system = tetragonal
ΔE to the lowest computed polymorph = 0.000 eV per atom

Geometry as POSCAR:
```
LaGaNi2As
1.0
4.1984 0.0000 0.0000
0.0000 4.1984 0.0000
0.0000 0.0000 9.7967
La Ga Ni As
2 2 4 2
Direct
0.2500 0.2500 0.2415 La
0.7500 0.7500 0.7585 La
0.2500 0.7500 0.5000 Ga
0.7500 0.2500 0.5000 Ga
0.2500 0.2500 0.6309 Ni
0.2500 0.7500 0.0000 Ni
0.7500 0.2500 0.0000 Ni
0.7500 0.7500 0.3691 Ni
0.2500 0.2500 0.8714 As
0.7500 0.7500 0.1286 As
```



6.
The following is a PBE-GGA calculation of AgPbSO after structural relaxation, from OQMD.

symmetry = P6_3mc (186)
crystal system = hexagonal
ΔE to the lowest computed polymorph = 0.076 eV per atom

Geometry as POSCAR:
```
AgPbSO
1.0
3.8064 0.0000 0.0000
-1.9032 3.2965 0.0000
0.0000 0.0000 12.7851
Ag Pb S O
2 2 2 2
Direct
0.0000 0.0000 0.0000 Ag
0.0000 0.0000 0.5000 Ag
0.3333 0.6667 0.2517 Pb
0.6667 0.3333 0.7517 Pb
0.3333 0.6667 0.6034 S
0.6667 0.3333 0.1034 S
0.0000 0.0000 0.3265 O
0.0000 0.0000 0.8265 O
```



7.
The following is a PBE-GGA calculation of MgAu after structural relaxation, from OQMD.

symmetry = Pmmn (59)
crystal system = orthorhombic

Geometry as POSCAR:
```
MgAu
1.0
4.7856 0.0000 0.0000
0.0000 11.6665 0.0000
0.0000 0.0000 5.1282
Mg Au
8 8
Direct
0.2500 0.0027 0.1740 Mg
0.2500 0.4973 0.1740 Mg
0.2500 0.6305 0.6432 Mg
0.2500 0.8695 0.6432 Mg
0.7500 0.1305 0.3568 Mg
0.7500 0.3695 0.3568 Mg
0.7500 0.5027 0.8260 Mg
0.7500 0.9973 0.8260 Mg
0.2500 0.1084 0.6875 Au
0.2500 0.2500 0.2024 Au
0.2500 0.3916 0.6875 Au
0.2500 0.7500 0.1422 Au
0.7500 0.2500 0.8578 Au
0.7500 0.6084 0.3125 Au
0.7500 0.7500 0.7976 Au
0.7500 0.8916 0.3125 Au
```



8.
The following is a PBE-GGA calculation of ThAg2 after structural relaxation, from OQMD.

symmetry = P6/mmm (191)
crystal system = hexagonal

Geometry as POSCAR:
```
ThAg2
1.0
4.8641 0.0000 0.0000
-2.4320 4.2124 0.0000
0.0000 0.0000 3.3457
Th Ag
1 2
Direct
0.0000 0.0000 0.0000 Th
0.3333 0.6667 0.5000 Ag
0.6667 0.3333 0.5000 Ag
```



no.,energy (eV per atom),volume (Å³ per atom)
1,-2.507,37.74
2,-7.549,14.26
3,-2.461,33.92
4,-4.609,29.23
5,-5.540,17.27
6,-4.262,20.05
7,-2.850,17.89
8,-4.527,22.85